## BaMoP2O8 (PBE with a Hubbard U)

Data for crystalline BaMoP2O8 at its relaxed geometry.

energy above the lowest structure with this stoichiometry: 9.5 meV per atom
raw total energy: -7.34 eV per atom
density: 4.08 g/cm3
spin magnetization: 2.0 μB per formula unit

abc: 5.0008 5.0008 7.9516
angles: 90.00 90.00 120.00
Space group P-3 (No. 147)
Unique sites:
Ba 0.0000 0.0000 0.0000 (multiplicity 1)
Mo 0.0000 0.0000 0.5000 (multiplicity 1)
P 0.3333 0.6667 0.7260 (multiplicity 2)
O 0.0692 0.3494 0.6615 (multiplicity 6)
O 0.3333 0.6667 0.9180 (multiplicity 2)